PBE-GGA MnCoOs2, relaxed; symmetry = F-43m, No. 216; polymorph energy (0 for the lowest one) = 6.43 kcal/mol of atoms; E_form = 0.343 eV per atom
1.0
0.000 3.005 3.005
3.005 0.000 3.005
3.005 3.005 0.000
Mn Co Os
1 1 2
direct
0.000 0.000 0.000
0.750 0.750 0.750
0.250 0.250 0.250
0.500 0.500 0.500